No. 1
This record from Alexandria describes a relaxed structure of V3CdO8. The functional is PBE+U.

ρ = 4.0 g/cm3
Raw total energy = -6.930 eV per atom

Cell lengths 6.4161, 6.4161, 7.2582 Å; angles 101.98, 101.98, 33.62 degrees
Atoms (fractional coordinates):
V (0.0000, 0.0000, 0.0000)
V (0.0804, 0.0804, 0.5122)
V (0.2997, 0.2997, 0.0383)
Cd (0.3842, 0.3842, 0.5905)
O (0.0456, 0.0456, 0.2440)
O (0.1569, 0.1569, 0.9728)
O (0.2145, 0.2145, 0.6246)
O (0.3264, 0.3264, 0.2718)
O (0.4512, 0.4512, 0.9451)
O (0.5623, 0.5623, 0.4937)
O (0.8327, 0.8327, 0.9863)
O (0.9817, 0.9817, 0.6765)



No. 2
This record from Alexandria describes a relaxed structure of VCdO3. The functional is PBE+U.

DOS(E_F) = 2.77 states/eV/cell
ρ = 5.1 g/cm3
Raw total energy = -4.582 eV per atom

Cell lengths 4.1013, 4.1013, 4.1013 Å; angles 90.00, 90.00, 90.00 degrees
Atoms (fractional coordinates):
V (0.0000, 0.0000, 0.0000)
Cd (0.5000, 0.5000, 0.5000)
O (0.0000, 0.5000, 0.5000)
O (0.5000, 0.0000, 0.5000)
O (0.5000, 0.5000, 0.0000)



No. 3
This record from Alexandria describes a relaxed structure of VCdO3. The functional is PBE+U.

DOS(E_F) = 0.00 states/eV/cell
ρ = 6.3 g/cm3
Raw total energy = -6.235 eV per atom

Cell lengths 5.3838, 7.7877, 5.3503 Å; angles 90.00, 90.00, 90.00 degrees
Atoms (fractional coordinates):
V (0.0000, 0.0000, 0.0000)
V (0.0000, 0.5000, 0.0000)
V (0.5000, 0.0000, 0.5000)
V (0.5000, 0.5000, 0.5000)
Cd (0.0364, 0.2500, 0.4943)
Cd (0.4636, 0.7500, 0.9943)
Cd (0.5364, 0.2500, 0.0057)
Cd (0.9636, 0.7500, 0.5057)
O (0.0324, 0.7500, 0.0921)
O (0.2151, 0.5474, 0.6941)
O (0.2151, 0.9526, 0.6941)
O (0.2849, 0.0474, 0.1941)
O (0.2849, 0.4526, 0.1941)
O (0.4676, 0.2500, 0.5921)
O (0.5324, 0.7500, 0.4079)
O (0.7151, 0.5474, 0.8059)
O (0.7151, 0.9526, 0.8059)
O (0.7849, 0.0474, 0.3059)
O (0.7849, 0.4526, 0.3059)
O (0.9676, 0.2500, 0.9079)



No. 4
This record from Alexandria describes a relaxed structure of VCdO. The functional is PBE+U.

DOS(E_F) = 1.45 states/eV/cell
ρ = 6.2 g/cm3
Raw total energy = -4.863 eV per atom

Cell lengths 7.9923, 6.7170, 6.1170 Å; angles 76.88, 54.93, 48.19 degrees
Atoms (fractional coordinates):
V (0.0058, 0.0058, 0.7442)
V (0.2558, 0.2558, 0.9942)
V (0.7442, 0.7442, 0.0058)
V (0.9942, 0.9942, 0.2558)
Cd (0.2581, 0.2581, 0.4919)
Cd (0.4919, 0.4919, 0.2581)
Cd (0.5081, 0.5081, 0.7419)
Cd (0.7419, 0.7419, 0.5081)
O (0.0118, 0.7382, 0.0118)
O (0.2618, 0.9882, 0.2618)
O (0.7382, 0.0118, 0.7382)
O (0.9882, 0.2618, 0.9882)



Question: Among the records above, which one has the lowest raw total energy?
Answer: V3CdO8



Question: Which value of raw total energy does entry 3 give?
Answer: -6.235 eV per atom



Question: The highest ρ belongs to which entry?
Answer: number 3



Question: Which of these has the highest raw total energy?
Answer: number 2